## Ca2TiBeBi (PBE)

Data for Ca2TiBeBi after structural relaxation.

a b c (Å): 6.064 6.064 4.600
angles (deg): 90.00 90.00 90.00
Sites, in units of the cell vectors:
Ca 0.000 0.500 0.000
Ca 0.500 0.000 0.000
Ti 0.000 0.000 0.500
Be 0.500 0.500 0.500
Bi 0.500 0.500 0.000

Values from the calculation:
SG = P4/mmm, No. 123
Energy of formation from the pure elements = 0.760 eV per atom
Mass density = 3397 kg/m³

## Pm2TmAu6 (PBE)

Data for Pm2TmAu6 after structural relaxation.

a b c (Å): 6.619 6.619 5.524
angles (deg): 90.00 90.00 120.00
Sites, in units of the cell vectors:
Pm 0.333 0.667 0.337
Pm 0.667 0.333 0.663
Tm 0.000 0.000 0.500
Au 0.188 0.376 0.822
Au 0.188 0.812 0.822
Au 0.376 0.188 0.178
Au 0.624 0.812 0.822
Au 0.812 0.188 0.178
Au 0.812 0.624 0.178

Values from the calculation:
SG = P-3m1, No. 164
Energy of formation from the pure elements = -0.650 eV per atom
Mass density = 12998 kg/m³

## BeFe2Pt (PBE)

Data for BeFe2Pt after structural relaxation.

a b c (Å): 8.351 2.762 4.394
angles (deg): 90.00 108.99 90.00
Sites, in units of the cell vectors:
Be 0.000 0.000 0.000
Be 0.500 0.500 0.000
Fe 0.014 0.500 0.517
Fe 0.269 0.000 0.705
Fe 0.514 0.000 0.517
Fe 0.769 0.500 0.705
Pt 0.240 0.500 0.177
Pt 0.740 0.000 0.177

Values from the calculation:
SG = Cm, No. 8
Energy of formation from the pure elements = -0.169 eV per atom
Mass density = 10943 kg/m³

## Li8PaO6 (PBE)

Data for Li8PaO6 after structural relaxation.

a b c (Å): 5.872 5.872 11.044
angles (deg): 90.00 90.00 120.00
Sites, in units of the cell vectors:
Li 0.000 0.318 0.000
Li 0.000 0.437 0.355
Li 0.000 0.563 0.855
Li 0.000 0.682 0.500
Li 0.318 0.000 0.000
Li 0.318 0.318 0.500
Li 0.333 0.667 0.133
Li 0.333 0.667 0.633
Li 0.437 0.000 0.355
Li 0.437 0.437 0.855
Li 0.563 0.000 0.855
Li 0.563 0.563 0.355
Li 0.667 0.333 0.133
Li 0.667 0.333 0.633
Li 0.682 0.000 0.500
Li 0.682 0.682 0.000
Pa 0.000 0.000 0.230
Pa 0.000 0.000 0.730
O 0.000 0.000 0.425
O 0.000 0.000 0.925
O 0.000 0.346 0.180
O 0.000 0.654 0.680
O 0.333 0.667 0.444
O 0.333 0.667 0.944
O 0.346 0.000 0.180
O 0.346 0.346 0.680
O 0.654 0.000 0.680
O 0.654 0.654 0.180
O 0.667 0.333 0.444
O 0.667 0.333 0.944

Values from the calculation:
SG = P6_3cm, No. 185
E_form (uncorrected) = -2.06 eV/atom
Mass density = 3852 kg/m³

## LaCl (PBE)

Data for LaCl after structural relaxation.

a b c (Å): 3.692 12.216 7.991
angles (deg): 90.00 90.00 90.00
Sites, in units of the cell vectors:
La 0.000 0.000 0.000
La 0.000 0.381 0.132
La 0.000 0.619 0.132
La 0.500 0.119 0.632
La 0.500 0.500 0.500
La 0.500 0.881 0.632
Cl 0.000 0.303 0.492
Cl 0.000 0.500 0.811
Cl 0.000 0.697 0.492
Cl 0.500 0.000 0.311
Cl 0.500 0.197 0.992
Cl 0.500 0.803 0.992

Values from the calculation:
SG = Imm2, No. 44
E_form (uncorrected) = -1.40 eV/atom
Mass density = 4820 kg/m³

## TlGaRu3 (PBE)

Data for TlGaRu3 after structural relaxation.

a b c (Å): 4.589 4.589 4.589
angles (deg): 90.00 90.00 90.00
Sites, in units of the cell vectors:
Tl 0.000 0.000 0.000
Ga 0.500 0.500 0.500
Ru 0.000 0.500 0.500
Ru 0.500 0.000 0.500
Ru 0.500 0.500 0.000

Values from the calculation:
SG = Pm-3m, No. 221
Energy above the lowest structure with this stoichiometry = 0.00 eV per formula unit
Energy of formation from the pure elements = 1.118 eV per atom
Mass density = 9922 kg/m³

## K2Cd2Sn3 (PBE)

Data for K2Cd2Sn3 after structural relaxation.

a b c (Å): 13.029 4.861 8.043
angles (deg): 90.00 120.25 90.00
Sites, in units of the cell vectors:
K 0.156 0.000 0.302
K 0.344 0.500 0.698
K 0.656 0.500 0.302
K 0.844 0.000 0.698
Cd 0.147 0.000 0.775
Cd 0.353 0.500 0.225
Cd 0.647 0.500 0.775
Cd 0.853 0.000 0.225
Sn 0.000 0.500 0.500
Sn 0.092 0.500 0.943
Sn 0.408 0.000 0.057
Sn 0.500 0.000 0.500
Sn 0.592 0.000 0.943
Sn 0.908 0.500 0.057

Values from the calculation:
SG = C2/m, No. 12
Energy of formation from the pure elements = -0.123 eV per atom
Mass density = 4975 kg/m³

## RbAlB2 (PBE)

Data for RbAlB2 after structural relaxation.

a b c (Å): 4.784 4.784 14.300
angles (deg): 90.00 90.00 90.00
Sites, in units of the cell vectors:
Rb 0.000 0.250 0.375
Rb 0.000 0.750 0.625
Rb 0.500 0.250 0.125
Rb 0.500 0.750 0.875
Al 0.000 0.250 0.875
Al 0.000 0.750 0.125
Al 0.500 0.250 0.625
Al 0.500 0.750 0.375
B 0.000 0.000 0.000
B 0.000 0.500 0.000
B 0.250 0.250 0.750
B 0.250 0.750 0.250
B 0.500 0.000 0.500
B 0.500 0.500 0.500
B 0.750 0.250 0.750
B 0.750 0.750 0.250

Values from the calculation:
SG = I4_1/amd, No. 141
Energy of formation from the pure elements = 1.062 eV per atom
Mass density = 2721 kg/m³

Q: Look up the mass density of the fifth one.
A: 4820 kg/m³

What did the eighth record say?
## RbAlB2 (PBE)

Data for RbAlB2 after structural relaxation.

a b c (Å): 4.784 4.784 14.300
angles (deg): 90.00 90.00 90.00
Sites, in units of the cell vectors:
Rb 0.000 0.250 0.375
Rb 0.000 0.750 0.625
Rb 0.500 0.250 0.125
Rb 0.500 0.750 0.875
Al 0.000 0.250 0.875
Al 0.000 0.750 0.125
Al 0.500 0.250 0.625
Al 0.500 0.750 0.375
B 0.000 0.000 0.000
B 0.000 0.500 0.000
B 0.250 0.250 0.750
B 0.250 0.750 0.250
B 0.500 0.000 0.500
B 0.500 0.500 0.500
B 0.750 0.250 0.750
B 0.750 0.750 0.250

Values from the calculation:
SG = I4_1/amd, No. 141
Energy of formation from the pure elements = 1.062 eV per atom
Mass density = 2721 kg/m³